No. 1
This record from the Alexandria database describes a geometry-optimized TlGe2Ru2 structure. The functional is PBE.

Calculated values
For the formation energy, the calculation gives 0.2 eV/f.u. As for the total moment: 0.000 μB per formula unit. The space group is P4/mbm. The calculation puts the energy relative to the lowest polymorph listed for this composition at 11 meV/atom. Its crystal system is tetragonal.

```
TlGe2Ru2
1.0
7.399 0.000 0.000
0.000 7.399 0.000
0.000 0.000 3.031
Tl Ge Ru
2 4 4
direct
0.000 0.000 0.000
0.500 0.500 0.000
0.143 0.357 0.500
0.357 0.857 0.500
0.643 0.143 0.500
0.857 0.643 0.500
0.149 0.649 0.000
0.351 0.149 0.000
0.649 0.851 0.000
0.851 0.351 0.000
```



No. 2
This record from the Alexandria database describes a geometry-optimized Tl5InI8 structure. The functional is PBE.

Calculated values
As for the total moment: 0.000 μB per formula unit. The space group is I-4. For the formation energy (no corrections), the calculation gives -0.596 eV/atom. Its crystal system is tetragonal.

```
Tl5InI8
1.0
-5.064 5.064 7.147
5.064 -5.064 7.147
5.064 5.064 -7.147
Tl In I
5 1 8
direct
0.000 0.000 0.000
0.112 0.368 0.738
0.627 0.888 0.257
0.630 0.373 0.262
0.632 0.370 0.743
0.250 0.750 0.500
0.360 0.638 0.274
0.362 0.636 0.722
0.364 0.086 0.726
0.409 0.138 0.275
0.862 0.136 0.270
0.864 0.134 0.725
0.866 0.591 0.730
0.914 0.640 0.278
```



No. 3
This record from the Alexandria database describes a geometry-optimized VCdSb2 structure. The functional is PBE.

Calculated values
As for the total moment: 1.684 μB per formula unit. The space group is P4/mmm. For the formation energy (no corrections), the calculation gives 0.106 eV/atom. Its crystal system is tetragonal.

```
VCdSb2
1.0
3.349 0.000 0.000
0.000 3.349 0.000
0.000 0.000 8.345
V Cd Sb
1 1 2
direct
0.000 0.000 0.000
0.000 0.000 0.500
0.500 0.500 0.194
0.500 0.500 0.806
```



No. 4
This record from the Alexandria database describes a geometry-optimized SbH2PtS structure. The functional is PBE.

Calculated values
As for the total moment: 0.000 μB per formula unit. The space group is P1. The calculation puts the energy relative to the lowest polymorph listed for this composition at 73 meV/atom. Its crystal system is triclinic.

```
SbH2PtS
1.0
4.005 0.000 0.000
-1.946 4.176 0.000
-1.201 -1.982 5.199
Sb H Pt S
1 2 1 1
direct
0.000 0.000 0.000
0.156 0.394 0.922
0.349 0.960 0.592
0.235 0.652 0.718
0.511 0.359 0.482
```



No. 5
This record from the Alexandria database describes a geometry-optimized MnV4Fe structure. The functional is PBE.

Calculated values
For the formation energy, the calculation gives 2.1 eV/f.u. As for the total moment: 0.000 μB per formula unit. The space group is C2/m. The calculation puts the energy relative to the lowest polymorph listed for this composition at 549 meV/atom. Its crystal system is monoclinic.

```
MnV4Fe
1.0
3.344 -2.046 0.000
3.344 2.046 0.000
-2.454 0.000 6.236
Mn V Fe
1 4 1
direct
0.000 0.000 0.000
0.123 0.123 0.375
0.374 0.374 0.123
0.626 0.626 0.877
0.877 0.877 0.625
0.500 0.500 0.500
```



No. 6
This record from the Alexandria database describes a geometry-optimized TlSiSb2 structure. The functional is PBE.

Calculated values
As for the total moment: 0.000 μB per formula unit. The space group is I4/mmm. The calculation puts the energy relative to the lowest polymorph listed for this composition at 272 meV/atom. For the formation energy (no corrections), the calculation gives 0.446 eV/atom. Its crystal system is tetragonal.

```
TlSiSb2
1.0
-2.352 2.352 4.705
2.352 -2.352 4.705
2.352 2.352 -4.705
Tl Si Sb
1 1 2
direct
0.000 0.000 0.000
0.500 0.500 0.000
0.250 0.750 0.500
0.750 0.250 0.500
```



No. 7
This record from the Alexandria database describes a geometry-optimized HfCu2F8 structure. The functional is PBE.

Calculated values
As for the total moment: 2.001 μB per formula unit. The space group is C2/m. The calculation puts the energy relative to the lowest polymorph listed for this composition at 0 meV/atom. For the formation energy (no corrections), the calculation gives -2.473 eV/atom. Its crystal system is monoclinic.

```
HfCu2F8
1.0
4.061 -3.740 0.000
4.061 3.740 0.000
-1.033 0.000 4.958
Hf Cu F
1 2 8
direct
0.000 0.000 0.000
0.323 0.323 0.519
0.677 0.677 0.481
0.038 0.690 0.742
0.178 0.178 0.776
0.310 0.962 0.258
0.453 0.453 0.252
0.547 0.547 0.748
0.690 0.038 0.742
0.822 0.822 0.224
0.962 0.310 0.258
```



No. 8
This record from the Alexandria database describes a geometry-optimized AcDy2BiO8 structure. The functional is PBE.

Calculated values
As for the total moment: 2.026 μB per formula unit. The space group is P2/m. For the formation energy (no corrections), the calculation gives -2.296 eV/atom. Its crystal system is monoclinic.

```
AcDy2BiO8
1.0
4.027 0.000 0.000
0.000 7.963 0.000
-0.213 0.000 5.333
Ac Dy Bi O
1 2 1 8
direct
0.000 0.000 0.000
0.500 0.265 0.500
0.500 0.735 0.500
0.000 0.500 0.000
0.020 0.277 0.748
0.020 0.723 0.748
0.469 0.500 0.236
0.499 0.000 0.714
0.501 0.000 0.286
0.531 0.500 0.764
0.980 0.277 0.252
0.980 0.723 0.252
```



No. 9
This record from the Alexandria database describes a geometry-optimized Lu2TcSe structure. The functional is PBE.

Calculated values
As for the total moment: 0.000 μB per formula unit. The space group is P4/mmm. The calculation puts the energy relative to the lowest polymorph listed for this composition at 0 meV/atom. For the formation energy (no corrections), the calculation gives -0.742 eV/atom. Its crystal system is tetragonal.

```
Lu2TcSe
1.0
3.481 0.000 0.000
0.000 3.481 0.000
0.000 0.000 6.800
Lu Tc Se
2 1 1
direct
0.000 0.000 0.235
0.000 0.000 0.765
0.500 0.500 0.000
0.500 0.500 0.500
```



No. 10
This record from the Alexandria database describes a geometry-optimized Mg2B2Rh5Pb structure. The functional is PBE.

Calculated values
For the formation energy, the calculation gives -4.6 eV/f.u. As for the total moment: 0.000 μB per formula unit. The space group is P4/mbm. Its crystal system is tetragonal.

```
Mg2B2Rh5Pb
1.0
9.729 0.000 0.000
0.000 9.729 0.000
0.000 0.000 3.002
Mg B Rh Pb
4 4 10 2
direct
0.175 0.325 0.000
0.325 0.825 0.000
0.675 0.175 0.000
0.825 0.675 0.000
0.121 0.621 0.000
0.379 0.121 0.000
0.621 0.879 0.000
0.879 0.379 0.000
0.000 0.500 0.500
0.073 0.774 0.500
0.226 0.073 0.500
0.274 0.573 0.500
0.427 0.274 0.500
0.500 0.000 0.500
0.573 0.726 0.500
0.726 0.427 0.500
0.774 0.927 0.500
0.927 0.226 0.500
0.000 0.000 0.000
0.500 0.500 0.000
```



No. 11
This record from the Alexandria database describes a geometry-optimized CeNdAg4 structure. The functional is PBE.

Calculated values
For the formation energy, the calculation gives -0.6 eV/f.u. As for the total moment: 1.439 μB per formula unit. The space group is F-43m. The calculation puts the energy relative to the lowest polymorph listed for this composition at 99 meV/atom. Its crystal system is cubic.

```
CeNdAg4
1.0
0.000 4.085 4.085
4.085 0.000 4.085
4.085 4.085 0.000
Ce Nd Ag
1 1 4
direct
0.000 0.000 0.000
0.750 0.750 0.750
0.375 0.375 0.375
0.375 0.375 0.875
0.375 0.875 0.375
0.875 0.375 0.375
```



No. 12
This record from the Alexandria database describes a geometry-optimized KH3O2 structure. The functional is PBE.

Calculated values
As for the total moment: 0.000 μB per formula unit. The space group is P2_1/c. The calculation puts the total energy at -114.43 eV per cell. Its crystal system is monoclinic.

```
KH3O2
1.0
5.945 0.000 0.000
0.000 5.788 0.000
-2.701 0.000 7.565
K H O
4 12 8
direct
0.194 0.246 0.423
0.194 0.254 0.923
0.806 0.746 0.077
0.806 0.754 0.577
0.277 0.716 0.544
0.277 0.722 0.846
0.277 0.778 0.346
0.277 0.784 0.044
0.486 0.505 0.747
0.486 0.995 0.247
0.514 0.005 0.753
0.514 0.495 0.253
0.723 0.216 0.956
0.723 0.222 0.654
0.723 0.278 0.154
0.723 0.284 0.456
0.163 0.745 0.416
0.163 0.755 0.916
0.450 0.672 0.738
0.450 0.828 0.238
0.550 0.172 0.762
0.550 0.328 0.262
0.837 0.245 0.084
0.837 0.255 0.584
```